# 1
## HoSnRh (GGA-PBE)

Data for an optimized crystal structure of HoSnRh.

Computed properties:
raw total energy: -6.16 eV per atom
M_tot: 0.00 μB/cell

Cell and atoms, written as extended XYZ:
```
18
Lattice="-4.079 1.110 -0.508 -1.011 -0.381 7.277 3.061 11.821 1.258" Properties=species:S:1:pos:R:3 pbc="T T T"
Sn -0.279 11.597 0.816
Ho 0.415 7.465 4.056
Rh -1.012 9.663 2.470
Ho 0.186 8.306 7.731
Ho -2.444 5.085 3.971
Rh -1.018 2.888 5.557
Rh -2.057 7.395 5.904
Rh 0.027 5.155 2.123
Sn -0.765 2.582 2.860
Ho 1.436 10.996 3.576
Ho -3.465 1.555 4.451
Rh -3.035 1.777 1.482
Sn -1.750 0.953 7.211
Sn -1.265 9.968 5.167
Sn -1.544 7.227 1.424
Ho -2.215 4.244 0.296
Rh 1.005 10.774 6.545
Sn -0.485 5.323 6.603
```

---

# 2
## Ba2YRe (GGA-PBE)

Data for an optimized crystal structure of Ba2YRe.

Computed properties:
ΔE to the lowest computed polymorph: 0.20 kcal/mol of atoms
M_tot: 0.54 μB/cell

Cell and atoms, written as extended XYZ:
```
4
Lattice="3.711 0.015 0.000 -0.016 3.711 0.000 0.000 0.000 10.426" Properties=species:S:1:pos:R:3 pbc="T T T"
Ba 0.000 0.000 10.059
Y 1.847 1.863 6.943
Re 0.000 0.000 5.592
Ba 1.847 1.863 3.471
```

---

Number 1: density of states at the Fermi level 10.55 states/eV per cell, density 10.0 g/cm³. Number 2: density of states at the Fermi level 6.32 states/eV per cell, density 6.4 g/cm³.